No. 1
Tl2CdFe | PBE | optimized geometry

```
Tl2CdFe
1.0
5.5057 0.0176 0.0000
1.8463 5.1869 0.0000
-3.6760 -2.6022 3.1668
Tl Cd Fe
2 1 1
Direct
0.5000 0.5000 0.0000 Tl
0.0000 0.0000 0.0000 Tl
0.2500 0.7500 0.5000 Cd
0.7500 0.2500 0.5000 Fe
```

The formation energy is 0.53 eV per atom.

No. 2
TlCdFe | PBE | optimized geometry

```
TlCdFe
1.0
-2.8405 -3.3860 -1.1018
1.0045 -4.2865 1.1681
-2.4082 -2.0998 3.2463
Cd Fe Tl
1 1 1
Direct
0.5000 0.5000 0.5000 Cd
0.7500 0.7500 0.7500 Fe
0.0000 0.0000 0.0000 Tl
```

The formation energy is 0.54 eV per atom.

| no. | density (Mg/m³) | excess energy over the best structure of this formula in the dataset (eV/atom) |
| --- | --- | --- |
| 1 | 10.6 | 0.1719 |
| 2 | 9.3 | 0.0685 |